Below is an optimized crystal structure of BaCeEuWO6, with properties calculated at the GGA+U level.

a = 6.0614 Å, b = 6.0614 Å, c = 6.0614 Å
α = 60.00°, β = 60.00°, γ = 60.00°
Last column: nearest neighbours and their distance in Å.
Element x y z (fractional)
Ba 0.2500 0.2500 0.2500  12 O 3.03
Ce 0.0000 0.0000 0.0000  6 O 2.25
Eu 0.7500 0.7500 0.7500  12 O 3.03
W 0.5000 0.5000 0.5000  6 O 2.04
O 0.2623 0.7377 0.2623  1 W 2.04, 1 Ce 2.25
O 0.7377 0.2623 0.7377  1 W 2.04, 1 Ce 2.25
O 0.2623 0.7377 0.7377  1 W 2.04, 1 Ce 2.25
O 0.7377 0.2623 0.2623  1 W 2.04, 1 Ce 2.25
O 0.2623 0.2623 0.7377  1 W 2.04, 1 Ce 2.25
O 0.7377 0.7377 0.2623  1 W 2.04, 1 Ce 2.25

Computed properties:
Total moment ... 9.001 μB/cell
SG ... F-43m
DOS at the Fermi energy ... 14.62 states/eV/cell
Distance to the lowest polymorph of the same formula ... 114 meV per atom
Energy ... -8.195 eV/atom